Arrangement P

This record from Alexandria describes a relaxed In2CuCl crystal. The functional is PBE.

Unit cell a=3.424 b=3.424 c=7.528 alpha=90.00 beta=90.00 gamma=90.24
Element x y z (fractional)
In 0.000 0.000 0.214
In 0.000 0.000 0.786
Cu 0.500 0.500 0.000
Cl 0.500 0.500 0.500

Values from the calculation:
**Volume**: 88.28 Å³ per cell


Arrangement Q

This record from Alexandria describes a relaxed In2CuCl crystal. The functional is PBE.

Unit cell a=5.120 b=5.120 c=5.120 alpha=60.00 beta=60.00 gamma=60.00
Element x y z (fractional)
In 0.000 0.000 0.000
In 0.250 0.250 0.250
Cu 0.750 0.750 0.750
Cl 0.500 0.500 0.500

Values from the calculation:
**Volume**: 94.92 Å³ per cell


Stability summary - winner: arrangement P; margin: 282 meV/atom.